PBE-GGA Dy4InAg2, relaxed; ΔE_f = -1.450 eV per formula unit; V = 26.900 Å³/atom; Fermi-level density of states = 7.5 states/eV per cell; symmetry = R-3m; total magnetic moment = 0.000 Bohr magnetons per cell
1.0
4.9208 0.0000 1.5374
2.2202 4.3914 1.5374
-0.0193 -0.0118 8.7055
In Ag Dy
1 2 4
Direct
0.0000 0.0000 0.0000
0.7442 0.7442 0.7675
0.2558 0.2558 0.2325
0.8689 0.8689 0.3934
0.1311 0.1311 0.6066
0.6147 0.6147 0.1560
0.3853 0.3853 0.8440

PBE-GGA Pm4CoTe2Cl, relaxed; V = 28.049 Å³/atom; uncorrected formation energy = -1.070 eV/atom; Fermi-level density of states = 5.6 states/eV per cell; symmetry = P2/m; total magnetic moment = 0.000 Bohr magnetons per cell
1.0
4.1212 0.0000 0.0000
0.0000 7.6570 -0.2810
0.0000 2.5767 7.0163
Pm Co Te Cl
4 1 2 1
Direct
0.0000 0.7235 0.7403
0.0000 0.2765 0.2597
0.5000 0.7047 0.2908
0.5000 0.2953 0.7092
0.0000 0.5000 0.5000
0.0000 0.0000 0.0000
0.5000 0.0000 0.5000
0.5000 0.5000 0.0000

PBE-GGA Ac3Cd5, relaxed; ΔE_f = -1.689 eV per formula unit; V = 32.159 Å³/atom; Fermi-level density of states = 14.8 states/eV per cell; symmetry = Fdd2; total magnetic moment = 0.000 Bohr magnetons per cell
1.0
-2.6922 -2.9136 5.7583
0.0239 -7.7322 0.3444
8.2587 -1.2218 7.4887
Ac Cd
6 10
Direct
0.9717 0.3956 0.6342
0.6327 0.3956 0.3658
0.8559 0.8956 0.8658
0.2485 0.8956 0.1342
0.5469 0.9061 0.5000
0.2969 0.4061 0.0000
0.5012 0.7117 0.8244
0.7872 0.7117 0.1756
0.5756 0.2117 0.6756
0.2128 0.2117 0.3244
0.6677 0.1139 0.1560
0.2184 0.1139 0.8440
0.0737 0.6139 0.3440
0.3124 0.6139 0.6560
0.0327 0.9346 0.5000
0.7827 0.4346 0.0000

PBE-GGA CuHPb3, relaxed; electronic total energy = -0.2218 Ry/atom; V = 28.836 Å³/atom; Fermi-level density of states = 3.2 states/eV per cell; symmetry = Pm-3m; total magnetic moment = 0.000 Bohr magnetons per cell
1.0
5.2437 0.0000 0.0000
0.0000 5.2437 0.0000
0.0000 0.0000 5.2437
Pb H Cu
3 1 1
Direct
0.0000 0.5000 0.0000
0.0000 0.0000 0.5000
0.5000 0.0000 0.0000
0.5000 0.5000 0.5000
0.0000 0.0000 0.0000